# 1
Here is ErZr2Cu after structural relaxation from Alexandria. Energies are from PBE-GGA.

Values from the calculation:
- Electronic total energy: -6.43 eV/atom
- Energy above the most stable polymorph in this dataset: 0.0000 eV per atom
- V: 86.7 Å³/cell
- SG: P4/mmm (123)
- ΔH_f (0 K): 0.010 eV/atom

a = 3.2794 Å, b = 3.2794 Å, c = 8.0613 Å
α = 90.00°, β = 90.00°, γ = 90.00°
Last column: nearest neighbours and their distance in Å.
Fractional positions:
Zr 0.0000 0.0000 0.7912  4 Cu 2.87
Cu 0.5000 0.5000 0.0000  8 Zr 2.87
Er 0.5000 0.5000 0.5000  4 Er 3.28, 8 Zr 3.30
Zr 0.0000 0.0000 0.2088  4 Cu 2.87

---

# 2
Here is ErZrCu4 after structural relaxation from Alexandria. Energies are from PBE-GGA.

Values from the calculation:
- Electronic total energy: -5.02 eV/atom
- Energy above the most stable polymorph in this dataset: 0.1022 eV per atom
- V: 96.2 Å³/cell
- SG: F-43m (216)
- ΔH_f (0 K): -0.106 eV/atom

a = 5.1428 Å, b = 5.1428 Å, c = 5.1428 Å
α = 60.00°, β = 60.00°, γ = 60.00°
Last column: nearest neighbours and their distance in Å.
Fractional positions:
Zr 0.2500 0.2500 0.2500  12 Cu 3.01, 4 Er 3.15
Cu 0.6243 0.1270 0.6243  6 Cu 2.56-2.58
Cu 0.6243 0.6243 0.6243  6 Cu 2.56-2.58
Cu 0.6243 0.6243 0.1270  6 Cu 2.56-2.58
Cu 0.1270 0.6243 0.6243  6 Cu 2.56-2.58
Er 0.0000 0.0000 0.0000  12 Cu 3.02, 4 Zr 3.15

---

# 3
Here is ErZr2Cu6 after structural relaxation from Alexandria. Energies are from PBE-GGA.

Values from the calculation:
- Electronic total energy: -5.30 eV/atom
- V: 146.1 Å³/cell
- SG: P6/mmm (191)
- ΔH_f (0 K): -0.163 eV/atom

a = 3.0702 Å, b = 7.4120 Å, c = 7.4120 Å
α = 120.00°, β = 90.00°, γ = 90.00°
Last column: nearest neighbours and their distance in Å.
Fractional positions:
Zr 0.0000 0.6667 0.3333  12 Cu 2.90, 2 Zr 3.07
Cu 0.5000 0.0000 0.6646  3 Cu 2.44-2.49
Cu 0.5000 0.6646 0.6646  3 Cu 2.44-2.49
Cu 0.5000 0.3354 0.0000  3 Cu 2.44-2.49
Cu 0.5000 0.0000 0.3354  3 Cu 2.44-2.49
Cu 0.5000 0.6646 0.0000  3 Cu 2.44-2.49
Er 0.0000 0.0000 0.0000  12 Cu 2.92, 2 Er 3.07
Cu 0.5000 0.3354 0.3354  3 Cu 2.44-2.49
Zr 0.0000 0.3333 0.6667  12 Cu 2.90, 2 Zr 3.07

---

# 4
Here is ErZrCu4 after structural relaxation from Alexandria. Energies are from PBE-GGA.

Values from the calculation:
- Electronic total energy: -5.12 eV/atom
- Energy above the most stable polymorph in this dataset: 0.0000 eV per atom
- V: 100.1 Å³/cell
- SG: Pmmm (47)
- ΔH_f (0 K): -0.208 eV/atom

a = 3.1727 Å, b = 4.2887 Å, c = 7.3595 Å
α = 90.00°, β = 90.00°, γ = 90.00°
Last column: nearest neighbours and their distance in Å.
Fractional positions:
Cu 0.4985 0.9973 0.8346  3 Cu 2.41-2.47
Cu 0.4986 0.9973 0.1617  3 Cu 2.41-2.47
Cu 0.4986 0.4973 0.3275  3 Cu 2.47-2.51
Er 0.9986 0.9973 0.4981  12 Cu 2.94-2.95, 2 Er 3.17
Zr 0.9986 0.4973 0.9981  12 Cu 2.90-2.93, 2 Zr 3.17
Cu 0.4986 0.4973 0.6688  3 Cu 2.47-2.51

---

# 5
Here is ErZr2Cu after structural relaxation from Alexandria. Energies are from PBE-GGA.

Values from the calculation:
- Electronic total energy: -6.28 eV/atom
- Energy above the most stable polymorph in this dataset: 0.1491 eV per atom
- V: 90.2 Å³/cell
- SG: R3m (160)
- ΔH_f (0 K): 0.159 eV/atom

a = 3.2904 Å, b = 3.2904 Å, c = 9.8039 Å
α = 80.34°, β = 80.34°, γ = 60.00°
Last column: nearest neighbours and their distance in Å.
Fractional positions:
Er 0.4997 0.4997 0.5008  6 Er 3.29, 6 Zr 3.33-3.35
Zr 0.0716 0.0716 0.7853  3 Cu 2.80
Zr 0.2619 0.2619 0.2144  3 Cu 2.81
Cu 0.6668 0.6668 0.9995  6 Zr 2.80-2.81

---

# 6
Here is ErZr2Cu after structural relaxation from Alexandria. Energies are from PBE-GGA.

Values from the calculation:
- Electronic total energy: -6.10 eV/atom
- Energy above the most stable polymorph in this dataset: 0.3252 eV per atom
- V: 91.0 Å³/cell
- SG: R-3m (166)
- ΔH_f (0 K): 0.335 eV/atom

a = 3.1264 Å, b = 3.1264 Å, c = 10.9031 Å
α = 81.76°, β = 81.76°, γ = 60.00°
Last column: nearest neighbours and their distance in Å.
Fractional positions:
Cu 0.5000 0.5000 0.5000  6 Zr 2.82, 6 Cu 3.13
Zr 0.0994 0.0994 0.7019  3 Cu 2.82, 6 Zr 3.13
Zr 0.9006 0.9006 0.2981  3 Cu 2.82, 6 Zr 3.13
Er 0.0000 0.0000 0.0000  6 Er 3.13, 2 Zr 3.21